# 1
A plane-wave DFT calculation with GGA-PBE was carried out for a geometry-optimized Ba2ZnBr structure.

Structure (CIF):
```
data_Ba2ZnBr
_space_group_name_H-M_alt 'P 1 2/m 1'
_space_group_IT_number 10
_cell_length_a 4.0509
_cell_length_b 4.0553
_cell_length_c 8.9384
_cell_angle_alpha 90.00
_cell_angle_beta 94.08
_cell_angle_gamma 90.00
loop_
_space_group_symop_operation_xyz
'x,y,z'
'-x,-y,-z'
'-x,y,-z'
'x,-y,z'
loop_
_atom_site_label
_atom_site_fract_x
_atom_site_fract_y
_atom_site_fract_z
Ba1 0.0388 0.0000 0.2272
Zn1 0.5000 0.5000 0.0000
Br1 0.5000 0.5000 0.5000
```

- Magnetic moment: 0.000 μB/atom
- Energy above the lowest structure with this stoichiometry: 0.322 eV per formula unit
- Formation energy from raw total energies: -807 meV per atom

---

# 2
A plane-wave DFT calculation with GGA-PBE was carried out for a geometry-optimized Th5In2Re structure.

Structure (CIF):
```
data_Th5In2Re
_space_group_name_H-M_alt 'P b a m'
_space_group_IT_number 55
_cell_length_a 8.0788
_cell_length_b 12.4013
_cell_length_c 4.7757
_cell_angle_alpha 90.00
_cell_angle_beta 90.00
_cell_angle_gamma 90.00
loop_
_space_group_symop_operation_xyz
'x,y,z'
'-x,-y,-z'
'-x,-y,z'
'x,y,-z'
'x+1/2,-y+1/2,-z'
'-x+1/2,y+1/2,z'
'-x+1/2,y+1/2,-z'
'x+1/2,-y+1/2,z'
loop_
_atom_site_label
_atom_site_fract_x
_atom_site_fract_y
_atom_site_fract_z
Th1 0.0000 0.0000 0.0000
Th2 0.1399 0.2924 0.0000
Th3 0.1888 0.5652 0.5000
In1 0.0806 0.8284 0.5000
Re1 0.0000 0.5000 0.0000
```

- Magnetic moment: 0.000 μB/atom
- Final energy: -112.4 eV per cell

---

# 3
A plane-wave DFT calculation with GGA-PBE was carried out for a geometry-optimized Nd3TlCu2 structure.

Structure (CIF):
```
data_Nd3TlCu2
_space_group_name_H-M_alt 'R -3 c'
_space_group_IT_number 167
_space_group_name_Hall '-R 3 2"c'
_cell_length_a 7.6447
_cell_length_b 7.6447
_cell_length_c 20.1393
_cell_angle_alpha 90.00
_cell_angle_beta 90.00
_cell_angle_gamma 120.00
loop_
_atom_site_label
_atom_site_fract_x
_atom_site_fract_y
_atom_site_fract_z
Nd1 0.0000 0.2851 0.2500
Tl1 0.0000 0.0000 0.0000
Cu1 0.0000 0.0000 0.1451
```

- Magnetic moment: 0.000 μB/atom
- Energy above the lowest structure with this stoichiometry: 0.945 eV per formula unit

---

# 4
A plane-wave DFT calculation with GGA-PBE was carried out for a geometry-optimized RbP2IO8 structure.

Structure (CIF):
```
data_RbP2IO8
_space_group_name_H-M_alt 'C 1 2/m 1'
_space_group_IT_number 12
_cell_length_a 8.4497
_cell_length_b 5.3700
_cell_length_c 8.7334
_cell_angle_alpha 90.00
_cell_angle_beta 94.73
_cell_angle_gamma 90.00
loop_
_space_group_symop_operation_xyz
'x,y,z'
'-x,-y,-z'
'-x,y,-z'
'x,-y,z'
'x+1/2,y+1/2,z'
'-x+1/2,-y+1/2,-z'
'-x+1/2,y+1/2,-z'
'x+1/2,-y+1/2,z'
loop_
_atom_site_label
_atom_site_fract_x
_atom_site_fract_y
_atom_site_fract_z
Rb1 0.0000 0.0000 0.0000
P1 0.1316 0.5000 0.3017
I1 0.0000 0.0000 0.5000
O1 0.0227 0.2633 0.3227
O2 0.1929 0.5000 0.1467
O3 0.2432 0.0000 0.5535
```

- Magnetic moment: 0.000 μB/atom
- Formation energy from raw total energies: -1586 meV per atom